Crystalline NdEu2Ho at its relaxed geometry. Source: Alexandria via LeMat-Bulk, functional PBE-GGA.

## Properties
**Calculated total energy**: -7.32 eV per atom
**DOS at the Fermi energy**: 4.79 states/eV/cell
**Energy relative to the elements**: 0.60 eV/f.u.
**ΔE to the lowest computed polymorph**: 0.18 eV/f.u.

```
NdEu2Ho
1.0
-3.416 -4.592 1.432
0.904 -5.251 -2.532
2.222 -4.456 3.163
Eu Nd Ho
2 1 1
Cartesian
-0.072 -3.575 0.516
-0.217 -10.724 1.548
0.000 0.000 0.000
-0.145 -7.149 1.032
```

Crystalline NdEu2Ho at its relaxed geometry. Source: Alexandria via LeMat-Bulk, functional PBE-GGA.

## Properties
**Calculated total energy**: -7.37 eV per atom
**DOS at the Fermi energy**: 4.16 states/eV/cell
**Energy relative to the elements**: 0.42 eV/f.u.
**ΔE to the lowest computed polymorph**: 0.00 eV/f.u.

```
NdEu2Ho
1.0
3.682 0.000 0.000
0.000 3.682 0.000
0.000 0.000 10.669
Eu Nd Ho
2 1 1
Cartesian
0.000 0.000 8.058
0.000 0.000 2.611
1.841 1.841 5.334
1.841 1.841 0.000
```

Crystalline NdEu2Ho at its relaxed geometry. Source: Alexandria via LeMat-Bulk, functional PBE-GGA.

## Properties
**Calculated total energy**: -7.25 eV per atom
**DOS at the Fermi energy**: 5.64 states/eV/cell
**Energy relative to the elements**: 0.91 eV/f.u.
**ΔE to the lowest computed polymorph**: 0.49 eV/f.u.

```
NdEu2Ho
1.0
-1.423 1.925 -2.689
-3.051 1.840 0.521
5.406 11.624 3.052
Eu Nd Ho
2 1 1
Cartesian
3.625 8.947 2.077
-2.694 6.442 -1.194
0.466 7.695 0.442
0.000 0.000 0.000
```

Crystalline NdEu2Ho at its relaxed geometry. Source: Alexandria via LeMat-Bulk, functional PBE-GGA.

## Properties
**Calculated total energy**: -7.32 eV per atom
**DOS at the Fermi energy**: 5.70 states/eV/cell
**Energy relative to the elements**: 0.63 eV/f.u.
**ΔE to the lowest computed polymorph**: 0.20 eV/f.u.

```
NdEu2Ho
1.0
4.044 0.000 0.000
0.000 5.990 0.000
0.000 0.000 5.990
Eu Nd Ho
2 1 1
Cartesian
0.000 0.000 2.995
0.000 2.995 0.000
2.022 0.000 0.000
2.022 2.995 2.995
```

Crystalline NdEuHo4 at its relaxed geometry. Source: Alexandria via LeMat-Bulk, functional PBE-GGA.

## Properties
**Calculated total energy**: -5.31 eV per atom
**DOS at the Fermi energy**: 8.51 states/eV/cell
**Energy relative to the elements**: 1.52 eV/f.u.

```
NdEuHo4
1.0
-1.303 -6.356 -1.651
5.001 -4.426 -0.484
0.636 -4.846 4.576
Eu Nd Ho
1 1 4
Cartesian
1.084 -3.907 0.610
0.000 0.000 0.000
2.393 -7.339 -0.784
0.187 -7.551 1.774
2.715 -9.788 1.529
3.373 -6.575 2.364
```

Crystalline NdEuHoSc at its relaxed geometry. Source: Alexandria via LeMat-Bulk, functional PBE-GGA.

## Properties
**Calculated total energy**: -6.33 eV per atom
**DOS at the Fermi energy**: 6.44 states/eV/cell
**Energy relative to the elements**: 0.64 eV/f.u.

```
NdEuHoSc
1.0
-0.319 0.569 -5.622
1.636 -4.242 -3.371
-3.853 -2.936 -2.928
Eu Sc Nd Ho
1 1 1 1
Cartesian
-1.268 -3.304 -5.961
-1.902 -4.956 -8.941
0.000 0.000 0.000
-0.634 -1.652 -2.980
```

Crystalline NdSmEuHo at its relaxed geometry. Source: Alexandria via LeMat-Bulk, functional PBE-GGA.

## Properties
**Calculated total energy**: -5.93 eV per atom
**DOS at the Fermi energy**: 7.71 states/eV/cell
**Energy relative to the elements**: 0.63 eV/f.u.

```
NdSmEuHo
1.0
5.822 0.000 0.000
2.911 5.042 0.000
2.911 1.681 4.754
Eu Nd Ho Sm
1 1 1 1
Cartesian
8.733 5.042 3.565
2.911 1.681 1.188
0.000 0.000 0.000
5.822 3.361 2.377
```

Crystalline NdEuHoSn at its relaxed geometry. Source: Alexandria via LeMat-Bulk, functional PBE-GGA.

## Properties
**Calculated total energy**: -6.16 eV per atom
**DOS at the Fermi energy**: 5.51 states/eV/cell
**Energy relative to the elements**: -1.00 eV/f.u.

```
NdEuHoSn
1.0
5.520 0.000 0.000
2.760 4.780 0.000
2.760 1.593 4.507
Eu Nd Ho Sn
1 1 1 1
Cartesian
8.280 4.780 3.380
5.520 3.187 2.254
0.000 0.000 0.000
2.760 1.593 1.127
```

Crystalline NdEuHoTl at its relaxed geometry. Source: Alexandria via LeMat-Bulk, functional PBE-GGA.

## Properties
**Calculated total energy**: -5.54 eV per atom
**DOS at the Fermi energy**: 6.24 states/eV/cell
**Energy relative to the elements**: -0.18 eV/f.u.

```
NdEuHoTl
1.0
-1.036 -5.481 0.186
1.671 -3.300 -4.180
4.186 -3.606 0.794
Eu Tl Nd Ho
1 1 1 1
Cartesian
3.616 -9.291 -2.400
1.205 -3.097 -0.800
0.000 0.000 0.000
2.410 -6.194 -1.600
```

Crystalline NdEuYHo at its relaxed geometry. Source: Alexandria via LeMat-Bulk, functional PBE-GGA.

## Properties
**Calculated total energy**: -6.38 eV per atom
**DOS at the Fermi energy**: 7.00 states/eV/cell
**Energy relative to the elements**: 0.58 eV/f.u.

```
NdEuYHo
1.0
5.796 0.000 0.000
2.898 5.020 0.000
2.898 1.673 4.733
Eu Y Nd Ho
1 1 1 1
Cartesian
0.000 0.000 0.000
8.694 5.020 3.549
5.796 3.346 2.366
2.898 1.673 1.183
```

Crystalline EuHo2Ni at its relaxed geometry. Source: Alexandria via LeMat-Bulk, functional PBE-GGA.

## Properties
**Calculated total energy**: -6.46 eV per atom
**DOS at the Fermi energy**: 3.69 states/eV/cell
**Energy relative to the elements**: -0.62 eV/f.u.
**ΔE to the lowest computed polymorph**: 0.00 eV/f.u.

```
EuHo2Ni
1.0
3.442 0.000 0.000
0.000 3.442 0.000
0.000 0.000 9.141
Eu Ni Ho
1 1 2
Cartesian
1.721 1.721 4.570
1.721 1.721 0.000
0.000 0.000 7.555
0.000 0.000 1.586
```

Crystalline EuHo3Ni at its relaxed geometry. Source: Alexandria via LeMat-Bulk, functional PBE-GGA.

## Properties
**Calculated total energy**: -6.05 eV per atom
**DOS at the Fermi energy**: 7.41 states/eV/cell
**Energy relative to the elements**: -0.44 eV/f.u.

```
EuHo3Ni
1.0
-3.624 3.663 1.450
0.189 -1.807 5.035
3.935 3.460 1.094
Eu Ni Ho
1 1 3
Cartesian
0.250 2.658 3.790
0.000 0.000 0.000
0.094 -0.903 2.517
1.967 1.730 0.547
-1.812 1.831 0.725
```

Crystalline EuHoNi4 at its relaxed geometry. Source: Alexandria via LeMat-Bulk, functional PBE-GGA.

## Properties
**Calculated total energy**: -6.64 eV per atom
**DOS at the Fermi energy**: 13.71 states/eV/cell
**Energy relative to the elements**: -1.88 eV/f.u.

```
EuHoNi4
1.0
-1.973 -0.941 -4.607
-3.952 -3.187 -0.479
-4.606 1.816 -1.220
Eu Ni Ho
1 4 1
Cartesian
0.000 0.000 0.000
-4.282 -2.350 -3.331
-4.608 0.145 -3.701
-6.579 -1.445 -3.939
-5.595 -0.975 -1.642
-2.633 -0.578 -1.577
```

Crystalline EuHo2Ni at its relaxed geometry. Source: Alexandria via LeMat-Bulk, functional PBE-GGA.

## Properties
**Calculated total energy**: -6.30 eV per atom
**DOS at the Fermi energy**: 4.93 states/eV/cell
**Energy relative to the elements**: 0.01 eV/f.u.
**ΔE to the lowest computed polymorph**: 0.63 eV/f.u.

```
EuHo2Ni
1.0
3.842 0.000 0.000
1.921 3.327 0.000
1.921 1.109 10.311
Eu Ni Ho
1 1 2
Cartesian
0.000 0.000 0.000
3.842 2.218 5.155
1.921 1.109 6.627
5.762 3.327 3.683
```

Crystalline EuHo2O at its relaxed geometry. Source: Alexandria via LeMat-Bulk, functional PBE-GGA.

## Properties
**Calculated total energy**: -6.83 eV per atom
**DOS at the Fermi energy**: 4.38 states/eV/cell
**ΔE to the lowest computed polymorph**: 1.90 eV/f.u.

```
EuHo2O
1.0
3.161 0.000 0.000
0.000 3.161 0.000
0.000 0.000 9.133
Eu Ho O
1 2 1
Cartesian
1.581 1.581 4.566
0.000 0.000 7.601
0.000 0.000 1.532
1.581 1.581 0.000
```

Crystalline EuHo2O at its relaxed geometry. Source: Alexandria via LeMat-Bulk, functional PBE-GGA.

## Properties
**Calculated total energy**: -7.30 eV per atom
**DOS at the Fermi energy**: 2.56 states/eV/cell
**ΔE to the lowest computed polymorph**: 0.00 eV/f.u.

```
EuHo2O
1.0
3.503 0.000 0.000
1.752 3.034 0.000
1.752 1.011 9.383
Eu Ho O
1 2 1
Cartesian
0.000 0.000 0.000
1.752 1.011 5.989
5.255 3.034 3.395
3.503 2.023 4.692
```

Crystalline EuHoOs4 at its relaxed geometry. Source: Alexandria via LeMat-Bulk, functional PBE-GGA.

## Properties
**Calculated total energy**: -10.03 eV per atom
**DOS at the Fermi energy**: 9.94 states/eV/cell
**Energy relative to the elements**: -0.42 eV/f.u.

```
EuHoOs4
1.0
-4.551 -0.153 -2.861
-4.516 -1.888 2.229
-4.029 3.363 1.175
Eu Os Ho
1 4 1
Cartesian
-3.274 0.330 0.136
-6.170 -0.857 -0.249
-5.927 1.771 -0.776
-8.186 0.826 0.339
-5.909 0.903 1.771
0.000 0.000 0.000
```

Crystalline EuHoZnOs at its relaxed geometry. Source: Alexandria via LeMat-Bulk, functional PBE-GGA.

## Properties
**Calculated total energy**: -6.89 eV per atom
**DOS at the Fermi energy**: 3.48 states/eV/cell
**Energy relative to the elements**: -0.22 eV/f.u.

```
EuHoZnOs
1.0
-2.178 -1.943 -4.000
2.387 -0.054 -4.338
1.633 -4.283 -1.874
Eu Zn Os Ho
1 1 1 1
Cartesian
1.382 -4.710 -7.659
0.000 0.000 0.000
0.921 -3.140 -5.106
0.461 -1.570 -2.553
```

Crystalline EuHo3P at its relaxed geometry. Source: Alexandria via LeMat-Bulk, functional PBE-GGA.

## Properties
**Calculated total energy**: -6.29 eV per atom
**DOS at the Fermi energy**: 12.14 states/eV/cell
**Energy relative to the elements**: -2.03 eV/f.u.

```
EuHo3P
1.0
5.419 0.000 0.000
0.000 5.419 0.000
0.000 0.000 5.419
Eu P Ho
1 1 3
Cartesian
2.709 2.709 2.709
0.000 0.000 0.000
0.000 2.709 0.000
0.000 0.000 2.709
2.709 0.000 0.000
```

Crystalline Eu2HoP at its relaxed geometry. Source: Alexandria via LeMat-Bulk, functional PBE-GGA.

## Properties
**Calculated total energy**: -7.97 eV per atom
**DOS at the Fermi energy**: 8.30 states/eV/cell
**Energy relative to the elements**: -1.34 eV/f.u.

```
Eu2HoP
1.0
-0.343 -0.665 -3.824
2.615 -2.234 -1.832
-5.117 -9.488 0.123
Eu P Ho
2 1 1
Cartesian
-3.138 -6.618 -0.553
0.293 -5.770 -4.979
-1.422 -6.194 -2.766
0.000 0.000 0.000
```

Crystalline EuHo2Pa at its relaxed geometry. Source: Alexandria via LeMat-Bulk, functional PBE-GGA.

## Properties
**Calculated total energy**: -7.08 eV per atom
**DOS at the Fermi energy**: 5.98 states/eV/cell
**Energy relative to the elements**: 0.59 eV/f.u.

```
EuHo2Pa
1.0
3.474 0.000 0.000
0.000 3.474 0.000
0.000 0.000 10.391
Eu Pa Ho
1 1 2
Cartesian
1.737 1.737 5.196
1.737 1.737 0.000
0.000 0.000 8.112
0.000 0.000 2.279
```

Crystalline EuHoPb2 at its relaxed geometry. Source: Alexandria via LeMat-Bulk, functional PBE-GGA.

## Properties
**Calculated total energy**: -6.03 eV per atom
**DOS at the Fermi energy**: 2.21 states/eV/cell
**Energy relative to the elements**: -1.85 eV/f.u.

```
EuHoPb2
1.0
-3.144 -2.226 1.269
2.517 -3.060 0.868
0.871 2.643 6.793
Pb Eu Ho
2 1 1
Cartesian
0.671 2.037 5.236
0.200 0.606 1.557
0.122 -1.322 4.465
-0.313 -2.643 1.069
```

Crystalline EuHoPb2 at its relaxed geometry. Source: Alexandria via LeMat-Bulk, functional PBE-GGA.

## Properties
**Calculated total energy**: -6.01 eV per atom
**DOS at the Fermi energy**: 2.87 states/eV/cell
**Energy relative to the elements**: -1.77 eV/f.u.

```
EuHoPb2
1.0
4.489 0.000 0.000
0.000 5.133 0.000
0.000 0.000 5.133
Pb Eu Ho
2 1 1
Cartesian
0.000 0.000 2.566
0.000 2.566 0.000
2.245 2.566 2.566
2.245 0.000 0.000
```

Crystalline EuHoPb at its relaxed geometry. Source: Alexandria via LeMat-Bulk, functional PBE-GGA.

## Properties
**Calculated total energy**: -6.46 eV per atom
**DOS at the Fermi energy**: 3.00 states/eV/cell
**Energy relative to the elements**: -0.80 eV/f.u.
**ΔE to the lowest computed polymorph**: 0.00 eV/f.u.

```
EuHoPb
1.0
4.131 0.000 0.000
0.000 4.131 0.000
-2.065 -2.065 5.471
Pb Eu Ho
1 1 1
Cartesian
2.065 2.065 1.398
2.065 2.065 5.014
0.000 0.000 2.889
```

Crystalline EuHoPb at its relaxed geometry. Source: Alexandria via LeMat-Bulk, functional PBE-GGA.

## Properties
**Calculated total energy**: -6.45 eV per atom
**DOS at the Fermi energy**: 2.76 states/eV/cell
**Energy relative to the elements**: -0.79 eV/f.u.
**ΔE to the lowest computed polymorph**: 0.02 eV/f.u.

```
EuHoPb
1.0
3.806 0.000 0.000
0.000 5.430 0.000
0.000 -2.715 4.703
Pb Eu Ho
1 1 1
Cartesian
0.614 0.000 0.000
2.544 0.000 3.135
0.648 2.715 1.568
```

Crystalline EuHoPb at its relaxed geometry. Source: Alexandria via LeMat-Bulk, functional PBE-GGA.

## Properties
**Calculated total energy**: -6.44 eV per atom
**DOS at the Fermi energy**: 10.17 states/eV/cell
**Energy relative to the elements**: -0.74 eV/f.u.
**ΔE to the lowest computed polymorph**: 0.06 eV/f.u.

```
EuHoPb
1.0
5.338 0.000 0.000
2.669 4.622 0.000
2.669 1.541 4.358
Pb Eu Ho
1 1 1
Cartesian
2.669 1.541 1.090
5.338 3.082 2.179
0.000 0.000 0.000
```

Crystalline EuHoPdPb at its relaxed geometry. Source: Alexandria via LeMat-Bulk, functional PBE-GGA.

## Properties
**Calculated total energy**: -6.49 eV per atom
**DOS at the Fermi energy**: 12.52 states/eV/cell
**Energy relative to the elements**: -2.20 eV/f.u.

```
EuHoPdPb
1.0
-3.820 -3.636 -0.397
0.830 -4.913 1.775
-2.495 -1.700 4.343
Pb Eu Ho Pd
1 1 1 1
Cartesian
-2.743 -5.125 2.860
-4.114 -7.687 4.290
-1.371 -2.562 1.430
0.000 0.000 0.000
```

Crystalline EuHoPtPb at its relaxed geometry. Source: Alexandria via LeMat-Bulk, functional PBE-GGA.

## Properties
**Calculated total energy**: -6.80 eV per atom
**DOS at the Fermi energy**: 12.04 states/eV/cell
**Energy relative to the elements**: -2.60 eV/f.u.

```
EuHoPtPb
1.0
5.255 0.000 0.000
2.627 4.551 0.000
2.627 1.517 4.290
Pb Eu Ho Pt
1 1 1 1
Cartesian
2.627 1.517 1.073
0.000 0.000 0.000
5.255 3.034 2.145
7.882 4.551 3.218
```

Crystalline EuHoRhPb at its relaxed geometry. Source: Alexandria via LeMat-Bulk, functional PBE-GGA.

## Properties
**Calculated total energy**: -6.88 eV per atom
**DOS at the Fermi energy**: 10.30 states/eV/cell
**Energy relative to the elements**: -1.61 eV/f.u.

```
EuHoRhPb
1.0
-0.616 0.266 5.174
4.143 -0.404 3.144
1.705 4.178 2.619
Pb Eu Rh Ho
1 1 1 1
Cartesian
2.616 2.019 5.468
1.308 1.010 2.734
0.000 0.000 0.000
3.924 3.029 8.203
```

Crystalline EuHoZnPb at its relaxed geometry. Source: Alexandria via LeMat-Bulk, functional PBE-GGA.

## Properties
**Calculated total energy**: -5.32 eV per atom
**DOS at the Fermi energy**: 2.84 states/eV/cell
**Energy relative to the elements**: -1.46 eV/f.u.

```
EuHoZnPb
1.0
-3.131 0.619 -4.300
-3.656 -3.722 -1.209
-5.212 1.067 0.614
Pb Eu Zn Ho
1 1 1 1
Cartesian
0.000 0.000 0.000
-9.000 -1.527 -3.671
-6.000 -1.018 -2.447
-3.000 -0.509 -1.224
```

Crystalline EuHoPd at its relaxed geometry. Source: Alexandria via LeMat-Bulk, functional PBE-GGA.

## Properties
**Calculated total energy**: -7.10 eV per atom
**DOS at the Fermi energy**: 7.47 states/eV/cell
**Energy relative to the elements**: -1.25 eV/f.u.
**ΔE to the lowest computed polymorph**: 0.29 eV/f.u.

```
EuHoPd
1.0
6.178 0.000 0.000
0.000 4.177 0.000
0.000 -2.088 3.617
Eu Ho Pd
1 1 1
Cartesian
4.553 2.088 1.206
1.486 0.000 2.412
0.139 0.000 0.000
```